(1)
A plane-wave DFT calculation with PBE was carried out for a geometry-optimized Tb2Ag3GeSe6 structure.

Cell lengths 17.626, 4.096, 7.962 Å; angles 90.00, 100.31, 90.00 degrees
Space group C2/m (No. 12)
Inequivalent atoms, fractional coordinates:
Tb (0.165, 0.000, 0.324) (multiplicity 4)
Ag (0.000, 0.500, 0.500) (multiplicity 2)
Ag (0.176, 0.000, 0.828) (multiplicity 4)
Ge (0.000, 0.500, 0.000) (multiplicity 2)
Se (0.002, 0.000, 0.758) (multiplicity 4)
Se (0.160, 0.500, 0.071) (multiplicity 4)
Se (0.167, 0.500, 0.580) (multiplicity 4)

Results
As for the crystal system: monoclinic.

***

(2)
A plane-wave DFT calculation with PBE was carried out for a geometry-optimized AgGeTeSe structure.

Cell lengths 6.903, 5.038, 6.842 Å; angles 90.00, 102.98, 90.00 degrees
Space group Cm (No. 8)
Inequivalent atoms, fractional coordinates:
Ag (0.000, 0.000, 0.000) (multiplicity 2)
Ge (0.046, 0.500, 0.566) (multiplicity 2)
Te (0.132, 0.000, 0.429) (multiplicity 2)
Se (0.104, 0.500, 0.924) (multiplicity 2)

Results
As for the crystal system: monoclinic.

***

(3)
A plane-wave DFT calculation with PBE was carried out for a geometry-optimized Ag2GeTe2Se structure.

Cell lengths 13.350, 7.594, 7.150 Å; angles 90.00, 90.00, 90.00 degrees
Space group Cmc2_1 (No. 36)
Inequivalent atoms, fractional coordinates:
Ag (0.154, 0.170, 0.000) (multiplicity 8)
Ge (0.000, 0.348, 0.491) (multiplicity 4)
Te (0.161, 0.183, 0.388) (multiplicity 8)
Se (0.000, 0.351, 0.852) (multiplicity 4)

Results
As for the crystal system: orthorhombic.

***

(4)
A plane-wave DFT calculation with PBE was carried out for a geometry-optimized AgGe2TeSe2 structure.

Cell lengths 12.215, 6.947, 8.234 Å; angles 90.00, 90.00, 90.00 degrees
Space group Cmc2_1 (No. 36)
Inequivalent atoms, fractional coordinates:
Ag (0.000, 0.216, 0.000) (multiplicity 4)
Ge (0.169, 0.300, 0.480) (multiplicity 8)
Te (0.000, 0.147, 0.660) (multiplicity 4)
Se (0.181, 0.384, 0.127) (multiplicity 8)

Results
As for the crystal system: orthorhombic.

***

(5)
A plane-wave DFT calculation with PBE was carried out for a geometry-optimized TlAgGe2Se6 structure.

Cell lengths 13.760, 13.801, 6.649 Å; angles 90.00, 113.43, 90.00 degrees
Space group C2/c (No. 15)
Inequivalent atoms, fractional coordinates:
Tl (0.000, 0.182, 0.250) (multiplicity 4)
Ag (0.000, 0.319, 0.750) (multiplicity 4)
Ge (0.213, 0.423, 0.300) (multiplicity 8)
Se (0.103, 0.070, 0.614) (multiplicity 8)
Se (0.135, 0.439, 0.565) (multiplicity 8)
Se (0.145, 0.270, 0.118) (multiplicity 8)

Results
As for the crystal system: monoclinic.

***

(6)
A plane-wave DFT calculation with PBE was carried out for a geometry-optimized Tm2Ag3GeSe6 structure.

Cell lengths 17.841, 4.039, 7.888 Å; angles 90.00, 101.53, 90.00 degrees
Space group C2/m (No. 12)
Inequivalent atoms, fractional coordinates:
Tm (0.165, 0.000, 0.330) (multiplicity 4)
Ag (0.000, 0.500, 0.500) (multiplicity 2)
Ag (0.176, 0.000, 0.837) (multiplicity 4)
Ge (0.000, 0.500, 0.000) (multiplicity 2)
Se (0.001, 0.000, 0.247) (multiplicity 4)
Se (0.158, 0.500, 0.078) (multiplicity 4)
Se (0.171, 0.500, 0.585) (multiplicity 4)

Results
As for the crystal system: monoclinic.

***

| no. | calculated total energy (eV/atom) | formation energy without anion corrections (kcal/mol of atoms) |
| --- | --- | --- |
| 1 | -4.41 | -18.47 |
| 2 | -3.60 | -1.78 |
| 3 | -3.45 | -2.31 |
| 4 | -3.81 | -2.55 |
| 5 | -3.72 | -4.14 |
| 6 | -4.38 | -18.37 |